Here is a relaxed TbPm4Pr5 crystal from Alexandria. Energies are from PBE.

```
TbPm4Pr5
1.0
3.6724 0.0000 0.0000
1.8286 9.5356 0.0000
0.0181 2.8441 10.0129
Tb Pm Pr
1 4 5
direct
0.0000 0.0000 0.0000
0.1994 0.6009 0.1000
0.4000 0.1994 0.7039
0.6000 0.8006 0.2961
0.8006 0.3991 0.9000
0.0000 0.0000 0.5000
0.2002 0.6000 0.5999
0.4007 0.1986 0.1966
0.5993 0.8014 0.8034
0.7998 0.4000 0.4001
```

Properties
DFT total energy in eV per cell: -47.39
V in Å³/f.u.: 350.6
Density in kg/m3: 6836
Space-group type: P-1 (2)

***

Here is a relaxed Pr2YSn2 crystal from Alexandria. Energies are from PBE.

```
Pr2YSn2
1.0
8.1902 0.0000 0.0000
0.0000 8.1902 0.0000
0.0000 0.0000 4.6105
Pr Y Sn
4 2 4
direct
0.1717 0.3283 0.0000
0.3283 0.8283 0.0000
0.6717 0.1717 0.0000
0.8283 0.6717 0.0000
0.0000 0.0000 0.5000
0.5000 0.5000 0.5000
0.1302 0.6302 0.5000
0.3698 0.1302 0.5000
0.6302 0.8698 0.5000
0.8698 0.3698 0.5000
```

Properties
DFT total energy in eV per cell: -55.37
V in Å³/f.u.: 154.6
Density in kg/m3: 6530
Space-group type: P4/mbm (127)

***

Here is a relaxed NbRe2Br crystal from Alexandria. Energies are from PBE.

```
NbRe2Br
1.0
0.0000 3.2216 3.2216
3.2216 0.0000 3.2216
3.2216 3.2216 0.0000
Nb Re Br
1 2 1
direct
0.0000 0.0000 0.0000
0.2500 0.2500 0.2500
0.7500 0.7500 0.7500
0.5000 0.5000 0.5000
```

Properties
Formation energy (no corrections) in meV per atom: 1124
DFT total energy in eV per cell: -32.14
V in Å³/f.u.: 66.9
Density in kg/m3: 13539
Space-group type: Fm-3m (225)

***

Here is a relaxed NaDyCd2O4 crystal from Alexandria. Energies are from PBE.

```
NaDyCd2O4
1.0
-2.3583 2.3583 4.8873
2.3583 -2.3583 4.8873
2.3583 2.3583 -4.8873
Na Dy Cd O
1 1 2 4
direct
0.0000 0.0000 0.0000
0.5000 0.5000 0.0000
0.2500 0.7500 0.5000
0.7500 0.2500 0.5000
0.0000 0.5000 0.5000
0.2661 0.2661 0.0000
0.5000 0.0000 0.5000
0.7339 0.7339 0.0000
```

Properties
Formation energy (no corrections) in meV per atom: -1894
DFT total energy in eV per cell: -42.74
V in Å³/f.u.: 108.7
Density in kg/m3: 7244
Space-group type: I4/mmm (139)

***

Here is a relaxed Na3ZnSi crystal from Alexandria. Energies are from PBE.

```
Na3ZnSi
1.0
4.9089 -4.4340 0.0000
4.9089 4.4340 0.0000
-4.3651 0.0000 6.1722
Na Zn Si
6 2 2
direct
0.0171 0.0171 0.2392
0.0871 0.4817 0.7584
0.4817 0.0871 0.7584
0.5183 0.9129 0.2416
0.9129 0.5183 0.2416
0.9829 0.9829 0.7608
0.3380 0.3380 0.1406
0.6620 0.6620 0.8594
0.3827 0.3827 0.5129
0.6173 0.6173 0.4871
```

Properties
Formation energy (no corrections) in meV per atom: 108
DFT total energy in eV per cell: -20.23
V in Å³/f.u.: 134.3
Density in kg/m3: 2008
Space-group type: C2/m (12)

***

Here is a relaxed LuHfAl2 crystal from Alexandria. Energies are from PBE.

```
LuHfAl2
1.0
0.0000 3.4351 3.4351
3.4351 0.0000 3.4351
3.4351 3.4351 0.0000
Lu Hf Al
1 1 2
direct
0.0000 0.0000 0.0000
0.5000 0.5000 0.5000
0.2500 0.2500 0.2500
0.7500 0.7500 0.7500
```

Properties
DFT total energy in eV per cell: -22.99
V in Å³/f.u.: 81.1
Density in kg/m3: 8345
Space-group type: Fm-3m (225)

***

- The highest DFT total energy belongs to which entry?
  Na3ZnSi

***

- density of number 4 (NaDyCd2O4)?
  7244 kg/m3